(1)
A plane-wave DFT calculation with PBE was carried out for LaEuSiPd after structural relaxation.

POSCAR file:
```
LaEuSiPd
1.0
0.000 3.675 3.675
3.675 0.000 3.675
3.675 3.675 0.000
La Eu Si Pd
1 1 1 1
Direct
0.000 0.000 0.000 La
0.500 0.500 0.500 Eu
0.250 0.250 0.250 Si
0.750 0.750 0.750 Pd
```

VASP energy in eV/atom: -7.04
ρ in Mg/m³: 7.11
Total moment in μB per cell: 6.8
Crystal system: cubic

(2)
A plane-wave DFT calculation with PBE was carried out for In3BiMo after structural relaxation.

POSCAR file:
```
In3BiMo
1.0
5.351 0.000 0.000
0.000 5.351 0.000
0.000 0.000 5.351
In Bi Mo
3 1 1
Direct
0.000 0.000 0.500 In
0.000 0.500 0.000 In
0.500 0.000 0.000 In
0.500 0.500 0.500 Bi
0.000 0.000 0.000 Mo
```

ρ in Mg/m³: 7.04
Total moment in μB per cell: 2.3
Crystal system: cubic
Relative energy among the computed polymorphs in meV per atom: 0
Energy of formation from the pure elements in eV per atom: 0.670

(3)
A plane-wave DFT calculation with PBE was carried out for Tm3Bi2Sb after structural relaxation.

POSCAR file:
```
Tm3Bi2Sb
1.0
-2.199 3.110 6.605
2.199 -3.110 6.605
2.199 3.110 -6.605
Tm Bi Sb
3 2 1
Direct
0.000 0.000 0.000 Tm
0.338 0.338 0.000 Tm
0.662 0.662 0.000 Tm
0.168 0.668 0.500 Bi
0.832 0.332 0.500 Bi
0.500 0.000 0.500 Sb
```

VASP energy in eV/atom: -5.09
ρ in Mg/m³: 9.62
Total moment in μB per cell: 0.0
Crystal system: orthorhombic

(4)
A plane-wave DFT calculation with PBE was carried out for HfPb2I8 after structural relaxation.

POSCAR file:
```
HfPb2I8
1.0
7.714 -4.006 0.000
7.714 4.006 0.000
-0.133 0.000 8.163
Hf Pb I
1 2 8
Direct
0.000 0.000 0.000 Hf
0.133 0.133 0.513 Pb
0.867 0.867 0.487 Pb
0.177 0.177 0.902 I
0.207 0.710 0.760 I
0.290 0.793 0.240 I
0.310 0.310 0.391 I
0.690 0.690 0.609 I
0.710 0.207 0.760 I
0.793 0.290 0.240 I
0.823 0.823 0.098 I
```

VASP energy in eV/atom: -3.40
ρ in Mg/m³: 5.29
Total moment in μB per cell: 0.0
Crystal system: monoclinic

(5)
A plane-wave DFT calculation with PBE was carried out for ZrTc2Ir after structural relaxation.

POSCAR file:
```
ZrTc2Ir
1.0
0.000 3.199 3.199
3.199 0.000 3.199
3.199 3.199 0.000
Zr Tc Ir
1 2 1
Direct
0.000 0.000 0.000 Zr
0.250 0.250 0.250 Tc
0.500 0.500 0.500 Tc
0.750 0.750 0.750 Ir
```

ρ in Mg/m³: 12.16
Total moment in μB per cell: 1.7
Crystal system: cubic
Relative energy among the computed polymorphs in meV per atom: 119
Energy of formation from the pure elements in eV per atom: -0.063

(6)
A plane-wave DFT calculation with PBE was carried out for NdDyPd2 after structural relaxation.

POSCAR file:
```
NdDyPd2
1.0
2.084 1.203 6.688
-2.084 1.203 6.688
0.000 -2.407 6.688
Nd Dy Pd
1 1 2
Direct
0.000 0.000 0.000 Nd
0.500 0.500 0.500 Dy
0.245 0.245 0.245 Pd
0.755 0.755 0.755 Pd
```

ρ in Mg/m³: 8.57
Total moment in μB per cell: 0.0
Crystal system: trigonal
Relative energy among the computed polymorphs in meV per atom: 149
Energy of formation from the pure elements in eV per atom: -0.708

(7)
A plane-wave DFT calculation with PBE was carried out for Ti2Al5Ni2Ir after structural relaxation.

POSCAR file:
```
Ti2Al5Ni2Ir
1.0
8.707 0.000 0.000
0.000 8.707 0.000
0.000 0.000 3.811
Ti Al Ni Ir
4 10 4 2
Direct
0.176 0.324 0.000 Ti
0.324 0.824 0.000 Ti
0.676 0.176 0.000 Ti
0.824 0.676 0.000 Ti
0.000 0.500 0.500 Al
0.068 0.796 0.500 Al
0.204 0.068 0.500 Al
0.296 0.568 0.500 Al
0.432 0.296 0.500 Al
0.500 0.000 0.500 Al
0.568 0.704 0.500 Al
0.704 0.432 0.500 Al
0.796 0.932 0.500 Al
0.932 0.204 0.500 Al
0.118 0.618 0.000 Ni
0.382 0.118 0.000 Ni
0.618 0.882 0.000 Ni
0.882 0.382 0.000 Ni
0.000 0.000 0.000 Ir
0.500 0.500 0.000 Ir
```

ρ in Mg/m³: 6.21
Total moment in μB per cell: 0.0
Crystal system: tetragonal
Energy of formation from the pure elements in eV per atom: -0.543

(8)
A plane-wave DFT calculation with PBE was carried out for RbTe2PdAu after structural relaxation.

POSCAR file:
```
RbTe2PdAu
1.0
3.304 -6.152 0.000
3.304 6.152 0.000
0.000 0.000 8.236
Rb Te Pd Au
2 4 2 2
Direct
0.250 0.750 0.769 Rb
0.750 0.250 0.231 Rb
0.092 0.908 0.212 Te
0.408 0.592 0.212 Te
0.592 0.408 0.788 Te
0.908 0.092 0.788 Te
0.250 0.250 0.000 Pd
0.750 0.750 0.000 Pd
0.000 0.000 0.500 Au
0.500 0.500 0.500 Au
```

VASP energy in eV/atom: -3.60
ρ in Mg/m³: 6.39
Total moment in μB per cell: 0.0
Crystal system: orthorhombic

(9)
A plane-wave DFT calculation with PBE was carried out for Sc2InCl after structural relaxation.

POSCAR file:
```
Sc2InCl
1.0
3.247 0.000 0.000
0.000 3.247 0.000
0.000 0.000 8.020
Sc In Cl
2 1 1
Direct
0.000 0.000 0.245 Sc
0.000 0.000 0.755 Sc
0.500 0.500 0.500 In
0.500 0.500 0.000 Cl
```

ρ in Mg/m³: 4.72
Total moment in μB per cell: 1.2
Crystal system: tetragonal
Relative energy among the computed polymorphs in meV per atom: 138

(10)
A plane-wave DFT calculation with PBE was carried out for ErSiS after structural relaxation.

POSCAR file:
```
ErSiS
1.0
-1.837 1.837 8.781
1.837 -1.837 8.781
1.837 1.837 -8.781
Er Si S
2 2 2
Direct
0.146 0.146 0.000 Er
0.854 0.854 0.000 Er
0.000 0.500 0.500 Si
0.500 0.000 0.500 Si
0.311 0.311 0.000 S
0.689 0.689 0.000 S
```

VASP energy in eV/atom: -5.96
ρ in Mg/m³: 6.37
Total moment in μB per cell: 0.0
Crystal system: tetragonal

(11)
A plane-wave DFT calculation with PBE was carried out for TbNd5Sm2Ho after structural relaxation.

POSCAR file:
```
TbNd5Sm2Ho
1.0
-4.349 4.349 8.225
4.349 -4.349 8.225
4.349 4.349 -8.225
Tb Nd Sm Ho
2 10 4 2
Direct
0.250 0.250 0.000 Tb
0.750 0.750 0.000 Tb
0.000 0.000 0.000 Nd
0.071 0.571 0.925 Nd
0.146 0.071 0.500 Nd
0.354 0.854 0.925 Nd
0.429 0.354 0.500 Nd
0.500 0.500 0.000 Nd
0.571 0.646 0.500 Nd
0.646 0.146 0.075 Nd
0.854 0.929 0.500 Nd
0.929 0.429 0.075 Nd
0.120 0.380 0.500 Sm
0.380 0.880 0.260 Sm
0.620 0.120 0.740 Sm
0.880 0.620 0.500 Sm
0.250 0.750 0.500 Ho
0.750 0.250 0.500 Ho
```

ρ in Mg/m³: 7.18
Total moment in μB per cell: 0.0
Crystal system: tetragonal
Energy of formation from the pure elements in eV per atom: 0.285

(12)
A plane-wave DFT calculation with PBE was carried out for In2MoAs after structural relaxation.

POSCAR file:
```
In2MoAs
1.0
0.000 3.462 3.462
3.462 0.000 3.462
3.462 3.462 0.000
In Mo As
2 1 1
Direct
0.000 0.000 0.000 In
0.250 0.250 0.250 In
0.500 0.500 0.500 Mo
0.750 0.750 0.750 As
```

ρ in Mg/m³: 8.01
Total moment in μB per cell: 2.4
Crystal system: cubic
Energy of formation from the pure elements in eV per atom: 0.599